1.
## TaZn2Re (PBE)

Data for crystalline TaZn2Re at its relaxed geometry.

Cell lengths 3.3430, 3.3430, 5.4419 Å; angles 90.00, 90.00, 90.00 degrees
Sites, in units of the cell vectors:
Ta1 0.0000 0.0000 0.0000
Zn1 0.5000 0.5000 0.2635
Zn2 0.5000 0.5000 0.7365
Re1 0.0000 0.0000 0.5000

Results
SG: P4/mmm (123)
crystal system: tetragonal
calculated formation energy: 108 kJ/mol of formula units

2.
## Mg2ZnRh (PBE)

Data for crystalline Mg2ZnRh at its relaxed geometry.

Cell lengths 5.9661, 5.6264, 5.5389 Å; angles 64.59, 58.41, 56.99 degrees
Sites, in units of the cell vectors:
Mg1 0.2115 0.7885 0.7885
Mg2 0.2500 0.2500 0.2500
Mg3 0.7500 0.7500 0.7500
Mg4 0.7885 0.2115 0.2115
Zn1 0.2751 0.2751 0.7249
Zn2 0.7249 0.7249 0.2751
Rh1 0.2783 0.7217 0.2783
Rh2 0.7217 0.2783 0.7217

Results
SG: Fmmm (69)
crystal system: orthorhombic
calculated formation energy: -136 kJ/mol of formula units

3.
## LaSmGe (PBE)

Data for crystalline LaSmGe at its relaxed geometry.

Cell lengths 4.8282, 4.8282, 4.3662 Å; angles 90.00, 90.00, 120.00 degrees
Sites, in units of the cell vectors:
La1 0.0000 0.0000 0.0000
Sm1 0.3333 0.6667 0.5412
Ge1 0.6667 0.3333 0.3660

Results
SG: P3m1 (156)
crystal system: trigonal
calculated formation energy: -126 kJ/mol of formula units

4.
## Mn2GaPbBr (PBE)

Data for crystalline Mn2GaPbBr at its relaxed geometry.

Cell lengths 4.7228, 4.7228, 5.9706 Å; angles 90.00, 90.00, 90.00 degrees
Sites, in units of the cell vectors:
Mn1 0.0000 0.5000 0.0000
Mn2 0.5000 0.0000 0.0000
Ga1 0.0000 0.0000 0.5000
Pb1 0.5000 0.5000 0.5000
Br1 0.5000 0.5000 0.0000

Results
SG: P4/mmm (123)
crystal system: tetragonal

Calculated total energy readings, ordered: -6.432; -3.307; -5.190; -4.439 eV per atom